Ac2PrPd | GGA-PBE | optimized geometry

Computed properties:
D(E_F): 4.75 states/eV/cell
SG: R3m
ΔE_f: -0.294 eV/atom
DFT total energy: -4.841 eV/atom
Excess energy over the best structure of this formula in the dataset: 99 meV per atom

a = 10.2123 Å, b = 10.2123 Å, c = 10.2123 Å
α = 23.48°, β = 23.48°, γ = 23.48°
Fractional positions:
1 Ac 0.0000 0.0000 0.0000
2 Ac 0.2062 0.2062 0.2062
3 Pr 0.4360 0.4360 0.4360
4 Pd 0.6031 0.6031 0.6031


SrTaTe2 | GGA-PBE | optimized geometry

Computed properties:
Energy relative to the elements, uncorrected: -0.19 eV/atom
D(E_F): 1.92 states/eV/cell
SG: P4mm
DFT total energy: -5.143 eV/atom
Excess energy over the best structure of this formula in the dataset: 278 meV per atom

a = 3.9695 Å, b = 3.9695 Å, c = 7.2994 Å
α = 90.00°, β = 90.00°, γ = 90.00°
Fractional positions:
1 Sr 0.0000 0.0000 0.0000
2 Ta 0.5000 0.5000 0.3817
3 Te 0.0000 0.0000 0.4562
4 Te 0.5000 0.5000 0.7787


Ca2SnAu7 | GGA-PBE | optimized geometry

Computed properties:
D(E_F): 3.65 states/eV/cell
SG: P-4m2
ΔE_f: -0.460 eV/atom
DFT total energy: -3.555 eV/atom

a = 4.0768 Å, b = 4.0768 Å, c = 13.5184 Å
α = 90.00°, β = 90.00°, γ = 90.00°
Fractional positions:
1 Ca 0.0000 0.5000 0.2396
2 Ca 0.5000 0.0000 0.7604
3 Sn 0.0000 0.0000 0.5000
4 Au 0.0000 0.0000 0.0000
5 Au 0.0000 0.5000 0.6534
6 Au 0.0000 0.5000 0.8520
7 Au 0.5000 0.0000 0.1480
8 Au 0.5000 0.0000 0.3466
9 Au 0.5000 0.5000 0.0000
10 Au 0.5000 0.5000 0.5000


ThMgZn | GGA-PBE | optimized geometry

Computed properties:
D(E_F): 6.52 states/eV/cell
SG: Cmcm
ΔE_f: -0.121 eV/atom
DFT total energy: -3.551 eV/atom

a = 5.8418 Å, b = 5.8418 Å, c = 5.9785 Å
α = 90.00°, β = 90.00°, γ = 135.29°
Fractional positions:
1 Th 0.2030 0.7970 0.7500
2 Th 0.7970 0.2030 0.2500
3 Mg 0.5000 0.5000 0.0000
4 Mg 0.5000 0.5000 0.5000
5 Zn 0.0946 0.9054 0.2500
6 Zn 0.9054 0.0946 0.7500